[1]
This record from Alexandria describes a geometry-optimized NaTcC2Br structure. The functional is PBE.

Geometry as extended XYZ:
```
5
Lattice="-2.5128 -2.7193 -1.4505 2.3041 -2.9005 1.4460 -2.9057 0.1040 4.8388" Properties=species:S:1:pos:R:3 pbc="T T T"
Na -1.5572 -2.7579 2.4171
C 1.1521 -1.4502 0.7230
C -1.2564 -1.3596 -0.7253
Tc 0.0000 0.0000 0.0000
Br -1.4529 0.0520 2.4194
```

Properties
Calculated total energy ... -28.1 eV per cell
Raw formation energy ... 0.7405 eV/atom



[2]
This record from Alexandria describes a geometry-optimized NbCBr2 structure. The functional is PBE.

Geometry as extended XYZ:
```
4
Lattice="1.8903 0.0000 8.2776 -0.9452 1.6371 8.2776 -0.9452 -1.6371 8.2776" Properties=species:S:1:pos:R:3 pbc="T T T"
Nb 0.0000 0.0000 0.0000
C 0.0000 0.0000 12.4164
Br 0.0000 0.0000 22.2939
Br 0.0000 0.0000 2.5389
```

Properties
Calculated total energy ... -16.0 eV per cell
E above lowest polymorph ... 199 meV per atom
Raw formation energy ... 1.6493 eV/atom



[3]
This record from Alexandria describes a geometry-optimized NbC3Br structure. The functional is PBE.

Geometry as extended XYZ:
```
5
Lattice="-2.8779 -2.5452 0.6185 2.5670 -2.5578 1.4183 -0.5211 1.4569 3.5706" Properties=species:S:1:pos:R:3 pbc="T T T"
Nb -0.4160 -1.8231 2.8037
C 1.2835 -1.2789 0.7091
C -0.2605 0.7285 1.7853
C -1.4389 -1.2726 0.3093
Br 0.0000 0.0000 0.0000
```

Properties
Calculated total energy ... -23.9 eV per cell
Raw formation energy ... 3.0943 eV/atom



[4]
This record from Alexandria describes a geometry-optimized Nb2CBr structure. The functional is PBE.

Geometry as extended XYZ:
```
8
Lattice="5.4397 0.0000 0.0000 0.0000 5.4397 0.0000 2.7199 2.7199 5.3225" Properties=species:S:1:pos:R:3 pbc="T T T"
Nb 3.5148 1.3599 1.3306
Nb 1.9249 4.0798 1.3306
Nb 4.0798 4.6448 3.9919
Nb 6.7997 6.2346 3.9919
C 2.7199 2.7199 0.0000
C 2.7199 5.4397 2.6613
Br 0.0000 0.0000 0.0000
Br 5.4397 2.7199 2.6613
```

Properties
Calculated total energy ... -58.6 eV per cell
Raw formation energy ... 0.4279 eV/atom



Which value of calculated total energy does entry 2 give? -16.0 eV per cell